Entry 1:
GaCoOs PBE-GGA relaxed; crystal system = cubic; uncorrected energy = -6.6716 eV per atom; space group = F-43m; calculated density = 11.0 g/cm³
1.0
0.0000 2.8832 2.8832
2.8832 0.0000 2.8832
2.8832 2.8832 0.0000
Ga Co Os
1 1 1
Direct
0.0000 0.0000 0.0000
0.5000 0.5000 0.5000
0.7500 0.7500 0.7500


Entry 2:
GdHoSi2 PBE-GGA relaxed; crystal system = orthorhombic; uncorrected energy = -5.8472 eV per atom; space group = Pmn2_1; calculated density = 7.2 g/cm³
1.0
3.8404 0.0000 0.0000
0.0000 7.9379 0.0000
0.0000 0.0000 5.7126
Gd Ho Si
2 2 4
Direct
0.0000 0.0714 0.0000
0.5000 0.9286 0.5000
0.0000 0.5699 0.2704
0.5000 0.4301 0.7704
0.0000 0.2153 0.5149
0.0000 0.7092 0.7580
0.5000 0.2908 0.2580
0.5000 0.7847 0.0149


Entry 3:
NaLiCoRe PBE-GGA relaxed; crystal system = cubic; uncorrected energy = -4.8747 eV per atom; polymorph energy (0 for the lowest one) = 0 meV/atom; space group = F-43m; calculated density = 8.5 g/cm³
1.0
0.0000 2.9958 2.9958
2.9958 0.0000 2.9958
2.9958 2.9958 0.0000
Na Li Co Re
1 1 1 1
Direct
0.0000 0.0000 0.0000
0.7500 0.7500 0.7500
0.2500 0.2500 0.2500
0.5000 0.5000 0.5000


Entry 4:
PrSc2NO2 PBE-GGA relaxed; crystal system = trigonal; uncorrected energy = -8.5005 eV per atom; space group = P-3m1; calculated density = 6.0 g/cm³
1.0
3.2353 0.0000 0.0000
-1.6177 2.8019 0.0000
0.0000 0.0000 8.4161
Pr Sc N O
1 2 1 2
Direct
0.0000 0.0000 0.0000
0.3333 0.6667 0.6506
0.6667 0.3333 0.3494
0.0000 0.0000 0.5000
0.3333 0.6667 0.2122
0.6667 0.3333 0.7878


Entry 5:
LiCdAs PBE-GGA relaxed; crystal system = hexagonal; uncorrected energy = -2.8517 eV per atom; space group = P-62m; calculated density = 5.8 g/cm³
1.0
6.9563 0.0000 0.0000
-3.4782 6.0244 0.0000
0.0000 0.0000 3.9768
Li Cd As
3 3 3
Direct
0.0000 0.2488 0.0000
0.2488 0.0000 0.0000
0.7512 0.7512 0.0000
0.0000 0.6040 0.5000
0.3960 0.3960 0.5000
0.6040 0.0000 0.5000
0.0000 0.0000 0.5000
0.3333 0.6667 0.0000
0.6667 0.3333 0.0000


Entry 6:
Pm3Al2Au4 PBE-GGA relaxed; crystal system = monoclinic; uncorrected energy = -4.6521 eV per atom; space group = C2/m; calculated density = 10.4 g/cm³
1.0
5.5167 -2.2989 0.0000
5.5167 2.2989 0.0000
-3.6104 0.0000 8.0411
Pm Al Au
3 2 4
Direct
0.0000 0.0000 0.0000
0.3593 0.3593 0.3100
0.6407 0.6407 0.6900
0.3417 0.3417 0.6695
0.6583 0.6583 0.3305
0.0881 0.0881 0.4072
0.2843 0.2843 0.9276
0.7157 0.7157 0.0724
0.9119 0.9119 0.5928


Entry 7:
Hf2NbPb PBE-GGA relaxed; crystal system = cubic; uncorrected energy = -8.1801 eV per atom; space group = F-43m; calculated density = 12.9 g/cm³
1.0
0.0000 3.4833 3.4833
3.4833 0.0000 3.4833
3.4833 3.4833 0.0000
Hf Nb Pb
2 1 1
Direct
0.0000 0.0000 0.0000
0.2500 0.2500 0.2500
0.7500 0.7500 0.7500
0.5000 0.5000 0.5000


Entry 8:
PmPrPb2 PBE-GGA relaxed; crystal system = monoclinic; uncorrected energy = -4.8021 eV per atom; space group = Pm; calculated density = 9.2 g/cm³
1.0
4.6737 0.0000 0.0000
0.0000 4.5316 0.0000
-2.3312 0.0000 5.9873
Pm Pr Pb
1 1 2
Direct
0.0000 0.0000 0.0000
0.2631 0.5000 0.5294
0.5358 0.5000 0.0715
0.7265 0.0000 0.4563


Entry 9:
LaMgZn2 PBE-GGA relaxed; crystal system = orthorhombic; uncorrected energy = -2.4534 eV per atom; space group = Pnma; calculated density = 5.3 g/cm³
1.0
8.3885 0.0000 0.0000
0.0000 6.9135 0.0000
0.0000 0.0000 6.3121
La Mg Zn
4 4 8
Direct
0.0357 0.2500 0.1608
0.4643 0.7500 0.6608
0.5357 0.2500 0.3392
0.9643 0.7500 0.8392
0.1058 0.7500 0.3472
0.3942 0.2500 0.8472
0.6058 0.7500 0.1528
0.8942 0.2500 0.6528
0.1865 0.0595 0.5895
0.1865 0.4405 0.5895
0.3135 0.5595 0.0895
0.3135 0.9405 0.0895
0.6865 0.0595 0.9105
0.6865 0.4405 0.9105
0.8135 0.5595 0.4105
0.8135 0.9405 0.4105


Entry 10:
LuFe PBE-GGA relaxed; crystal system = cubic; uncorrected energy = -4.8736 eV per atom; energy of formation = 1.543 eV per atom; space group = F-43m; calculated density = 7.8 g/cm³
1.0
0.0000 2.9025 2.9025
2.9025 0.0000 2.9025
2.9025 2.9025 0.0000
Lu Fe
1 1
Direct
0.0000 0.0000 0.0000
0.2500 0.2500 0.2500


Entry 11:
CoBiMoAu PBE-GGA relaxed; crystal system = cubic; uncorrected energy = -5.5774 eV per atom; polymorph energy (0 for the lowest one) = 150 meV/atom; space group = F-43m; calculated density = 12.8 g/cm³
1.0
0.0000 3.3175 3.3175
3.3175 0.0000 3.3175
3.3175 3.3175 0.0000
Co Bi Mo Au
1 1 1 1
Direct
0.0000 0.0000 0.0000
0.7500 0.7500 0.7500
0.2500 0.2500 0.2500
0.5000 0.5000 0.5000


Entry 12:
SrLaCuTe2S PBE-GGA relaxed; crystal system = orthorhombic; uncorrected energy = -4.8439 eV per atom; space group = Cmcm; calculated density = 5.7 g/cm³
1.0
2.1368 -7.2550 0.0000
2.1368 7.2550 0.0000
0.0000 0.0000 10.8746
Sr La Cu Te S
2 2 2 4 2
Direct
0.2187 0.7813 0.7500
0.7813 0.2187 0.2500
0.5000 0.5000 0.0000
0.5000 0.5000 0.5000
0.0240 0.9760 0.2500
0.9760 0.0240 0.7500
0.1518 0.8482 0.0739
0.1518 0.8482 0.4261
0.8482 0.1518 0.5739
0.8482 0.1518 0.9261
0.4342 0.5658 0.2500
0.5658 0.4342 0.7500